# 1
## La2AlSb (SCAN)

Data for a PBEsol-optimized structure of La2AlSb.

Computed properties:
* energy above the most stable polymorph in this dataset: 0.00 eV per formula unit
* raw formation energy: -2.94 eV per formula unit

Cell lengths 5.3791, 5.3791, 3.9327 Å; angles 90.00, 90.00, 103.90 degrees
With the nearest neighbours (Å) after each atom.
Element x y z (fractional)
La1 0.0000 0.5000 0.0000  2 La 3.32, 4 Sb 3.33, 4 Al 3.33
La2 0.5000 0.0000 0.0000  2 La 3.32, 4 Sb 3.33, 4 Al 3.33
Al1 0.0000 0.0000 0.5000  2 Sb 3.32, 8 La 3.33
Sb1 0.5000 0.5000 0.5000  2 Al 3.32, 8 La 3.33


# 2
## Mg2ScBr (SCAN)

Data for a PBEsol-optimized structure of Mg2ScBr.

Computed properties:
* energy above the most stable polymorph in this dataset: 1.01 eV per formula unit
* raw formation energy: -0.66 eV per formula unit

Cell lengths 6.1203, 6.1203, 6.1203 Å; angles 141.41, 141.41, 55.72 degrees
With the nearest neighbours (Å) after each atom.
Element x y z (fractional)
Mg1 0.2500 0.7500 0.5000  4 Mg 2.86
Mg2 0.7500 0.2500 0.5000  4 Mg 2.86
Sc1 0.0000 0.0000 0.0000  4 Br 2.86
Br1 0.5000 0.5000 0.0000  4 Sc 2.86


# 3
## Ba3ScCO3F7 (SCAN)

Data for a PBEsol-optimized structure of Ba3ScCO3F7.

Computed properties:
* raw formation energy: -54.26 eV per formula unit

Cell lengths 8.8322, 8.8322, 5.9314 Å; angles 90.00, 90.00, 99.06 degrees
With the nearest neighbours (Å) after each atom.
Element x y z (fractional)
Ba1 0.0944 0.9056 0.7500  11 F 2.68-2.98
Ba2 0.1549 0.3967 0.7500  6 F 2.57-2.78, 1 O 2.71
Ba3 0.3967 0.1549 0.2500  6 F 2.57-2.78, 1 O 2.71
Ba4 0.6033 0.8451 0.7500  6 F 2.57-2.78, 1 O 2.71
Ba5 0.8451 0.6033 0.2500  6 F 2.57-2.78, 1 O 2.71
Ba6 0.9056 0.0944 0.2500  11 F 2.68-2.98
Sc1 0.2688 0.7312 0.2500  5 F 2.06-2.08, 2 O 2.22
Sc2 0.7312 0.2688 0.7500  5 F 2.06-2.08, 2 O 2.22
C1 0.4630 0.5370 0.2500  3 O 1.27-1.31
C2 0.5370 0.4630 0.7500  3 O 1.27-1.31
O1 0.3146 0.4917 0.2500  1 C 1.31
O2 0.4423 0.5577 0.7500  1 C 1.27
O3 0.4917 0.3146 0.7500  1 C 1.31
O4 0.5083 0.6854 0.2500  1 C 1.31
O5 0.5577 0.4423 0.2500  1 C 1.27
O6 0.6854 0.5083 0.7500  1 C 1.31
F1 0.1141 0.8859 0.2500  1 Sc 2.08
F2 0.1157 0.6414 0.0038  1 Sc 2.06
F3 0.1157 0.6414 0.4962  1 Sc 2.06
F4 0.1601 0.1601 0.0000  4 Ba 2.57-2.68, 2 F 2.81
F5 0.1601 0.1601 0.5000  4 Ba 2.57-2.68, 2 F 2.81
F6 0.3586 0.8843 0.0038  1 Sc 2.06
F7 0.3586 0.8843 0.4962  1 Sc 2.06
F8 0.6414 0.1157 0.5038  1 Sc 2.06
F9 0.6414 0.1157 0.9962  1 Sc 2.06
F10 0.8399 0.8399 0.0000  4 Ba 2.57-2.68, 2 F 2.81
F11 0.8399 0.8399 0.5000  4 Ba 2.57-2.68, 2 F 2.81
F12 0.8843 0.3586 0.5038  1 Sc 2.06
F13 0.8843 0.3586 0.9962  1 Sc 2.06
F14 0.8859 0.1141 0.7500  1 Sc 2.08


# 4
## TeRh2 (SCAN)

Data for a PBEsol-optimized structure of TeRh2.

Computed properties:
* energy above the most stable polymorph in this dataset: 0.00 eV per formula unit
* raw formation energy: -0.80 eV per formula unit

Cell lengths 6.8166, 6.8166, 3.6412 Å; angles 90.00, 90.00, 120.00 degrees
With the nearest neighbours (Å) after each atom.
Element x y z (fractional)
Te1 0.0000 0.0000 0.0000  9 Rh 2.59-2.63
Te2 0.3333 0.6667 0.5000  9 Rh 2.51-2.79
Te3 0.6667 0.3333 0.5000  9 Rh 2.51-2.79
Rh1 0.0000 0.2703 0.5000  4 Te 2.51-2.59
Rh2 0.0000 0.6146 0.0000  5 Te 2.63-2.79
Rh3 0.2703 0.0000 0.5000  4 Te 2.51-2.59
Rh4 0.3854 0.3854 0.0000  5 Te 2.63-2.79
Rh5 0.6146 0.0000 0.0000  5 Te 2.63-2.79
Rh6 0.7297 0.7297 0.5000  4 Te 2.51-2.59


# 5
## LiYSe2 (SCAN)

Data for a PBEsol-optimized structure of LiYSe2.

Computed properties:
* raw formation energy: -7.43 eV per formula unit

Cell lengths 4.0268, 5.5094, 4.0242 Å; angles 90.00, 90.00, 90.00 degrees
With the nearest neighbours (Å) after each atom.
Element x y z (fractional)
Li1 0.0000 0.0000 0.0000  6 Se 2.75-2.85
Y1 0.5000 0.5000 0.5010  6 Se 2.75-2.85
Se1 0.0000 0.5000 0.0008  2 Li 2.75, 4 Y 2.85
Se2 0.5000 0.0000 0.4995  2 Y 2.75, 4 Li 2.85


# 6
## CdAgIO2 (SCAN)

Data for a PBEsol-optimized structure of CdAgIO2.

Computed properties:
* raw formation energy: 0.37 eV per formula unit

Cell lengths 4.0892, 4.0892, 6.5265 Å; angles 90.00, 90.00, 90.00 degrees
With the nearest neighbours (Å) after each atom.
Element x y z (fractional)
Cd1 0.0000 0.0000 0.0000  4 O 2.04
Ag1 0.5000 0.5000 0.5000  4 I 2.89
I1 0.0000 0.0000 0.5000  4 Ag 2.89
O1 0.0000 0.5000 0.0000  2 Cd 2.04
O2 0.5000 0.0000 0.0000  2 Cd 2.04


# 7
## ReOs2W (SCAN)

Data for a PBEsol-optimized structure of ReOs2W.

Computed properties:
* energy above the most stable polymorph in this dataset: 1.65 eV per formula unit
* formation energy from the elements: 432 meV/atom

Cell lengths 3.2574, 3.2574, 5.5896 Å; angles 90.00, 90.00, 90.00 degrees
With the nearest neighbours (Å) after each atom.
Element x y z (fractional)
Re1 0.0000 0.0000 0.0000  8 Os 2.69, 2 W 2.79
Os1 0.5000 0.5000 0.2473  4 Re 2.69, 4 W 2.70, 2 Os 2.76-2.83
Os2 0.5000 0.5000 0.7527  4 Re 2.69, 4 W 2.70, 2 Os 2.76-2.83
W1 0.0000 0.0000 0.5000  8 Os 2.70, 2 Re 2.79


# 8
## CaGaSeN2 (SCAN)

Data for a PBEsol-optimized structure of CaGaSeN2.

Computed properties:
* energy above the most stable polymorph in this dataset: 4.32 eV per formula unit
* raw formation energy: 5.09 eV per formula unit

Cell lengths 4.4768, 4.4768, 5.6637 Å; angles 90.00, 90.00, 90.00 degrees
With the nearest neighbours (Å) after each atom.
Element x y z (fractional)
Ca1 0.0000 0.0000 0.0000  4 N 2.24
Ga1 0.5000 0.5000 0.5000  4 Se 3.17
Se1 0.0000 0.0000 0.5000  2 Ca 2.83, 4 Ga 3.17
N1 0.0000 0.5000 0.0000  2 Ca 2.24
N2 0.5000 0.0000 0.0000  2 Ca 2.24


| no. | E (eV per atom) |
| --- | --- |
| 1 | -33.54 |
| 2 | -11.08 |
| 3 | -16.05 |
| 4 | -35.20 |
| 5 | -19.45 |
| 6 | -22.12 |
| 7 | -70.70 |
| 8 | -11.92 |